1.
Crystalline Ni5Ag3 at its relaxed geometry, computed with PBE.

```
Ni5Ag3
1.0
4.573 0.000 0.000
-2.082 7.169 0.000
-2.095 -1.074 7.085
Ni Ag
10 6
direct
0.049 0.248 0.356
0.232 0.298 0.693
0.249 0.998 0.500
0.269 0.806 0.202
0.450 0.142 0.253
0.550 0.858 0.747
0.731 0.194 0.798
0.751 0.002 0.500
0.768 0.702 0.307
0.951 0.752 0.644
0.214 0.036 0.898
0.250 0.420 0.081
0.287 0.602 0.464
0.713 0.398 0.536
0.750 0.580 0.919
0.786 0.964 0.102
```

Calculated values
N(E_F) (states/eV per cell): 27.97
Space group: No. 2
E_form (meV/atom): 351


2.
Crystalline Ni4Ag3 at its relaxed geometry, computed with PBE.

```
Ni4Ag3
1.0
5.200 0.000 0.000
-2.600 4.504 0.000
0.000 0.000 4.531
Ni Ag
4 3
direct
0.000 0.000 0.245
0.000 0.000 0.755
0.333 0.667 0.000
0.667 0.333 0.000
0.000 0.500 0.500
0.500 0.000 0.500
0.500 0.500 0.500
```

Calculated values
N(E_F) (states/eV per cell): 10.95
Space group: No. 191
Distance to the lowest polymorph of the same formula (eV/atom): 0.415
E_form (meV/atom): 604


3.
Crystalline Ni3Ag at its relaxed geometry, computed with PBE.

```
Ni3Ag
1.0
5.880 0.000 0.000
0.000 5.880 0.000
0.000 0.000 5.880
Ni Ag
12 4
direct
0.000 0.000 0.000
0.000 0.500 0.500
0.250 0.250 0.250
0.250 0.250 0.750
0.250 0.750 0.250
0.250 0.750 0.750
0.500 0.000 0.500
0.500 0.500 0.000
0.750 0.250 0.250
0.750 0.250 0.750
0.750 0.750 0.250
0.750 0.750 0.750
0.000 0.000 0.500
0.000 0.500 0.000
0.500 0.000 0.000
0.500 0.500 0.500
```

Calculated values
N(E_F) (states/eV per cell): 25.31
Space group: No. 225
E_form (meV/atom): 309


4.
Crystalline NiAg at its relaxed geometry, computed with PBE.

```
NiAg
1.0
7.653 0.000 0.000
0.000 7.653 0.000
0.000 0.000 7.653
Ni Ag
8 8
direct
0.108 0.108 0.108
0.108 0.892 0.892
0.392 0.392 0.608
0.392 0.608 0.392
0.608 0.392 0.392
0.608 0.608 0.608
0.892 0.108 0.892
0.892 0.892 0.108
0.204 0.204 0.796
0.204 0.796 0.204
0.296 0.296 0.296
0.296 0.704 0.704
0.704 0.296 0.704
0.704 0.704 0.296
0.796 0.204 0.204
0.796 0.796 0.796
```

Calculated values
N(E_F) (states/eV per cell): 14.76
Space group: No. 217
E_form (meV/atom): 1035


5.
Crystalline NiAg at its relaxed geometry, computed with PBE.

```
NiAg
1.0
2.752 0.000 0.000
0.000 2.752 0.000
0.000 0.000 3.787
Ni Ag
1 1
direct
0.000 0.000 0.000
0.500 0.500 0.500
```

Calculated values
N(E_F) (states/eV per cell): 3.66
Space group: No. 123
E_form (meV/atom): 313


6.
Crystalline NiAg at its relaxed geometry, computed with PBE.

```
NiAg
1.0
5.036 0.000 0.000
0.000 5.036 0.000
0.000 0.000 5.137
Ni Ag
4 4
direct
0.175 0.175 0.000
0.325 0.675 0.500
0.675 0.325 0.500
0.825 0.825 0.000
0.189 0.189 0.500
0.311 0.689 0.000
0.689 0.311 0.000
0.811 0.811 0.500
```

Calculated values
N(E_F) (states/eV per cell): 13.56
Space group: No. 136
E_form (meV/atom): 681


- Number 5 is which compound?
  NiAg


- N(E_F) of number 6 (NiAg)?
  13.56 states/eV per cell